Ac7Pt4Se | PBE | relaxed

Calculated values
space-group type	No. 164
uncorrected formation energy	-1109	meV per atom

The structure in POSCAR format:
```
Ac7Pt4Se
1.0
4.411 0.000 0.000
-2.206 3.820 0.000
0.000 0.000 25.375
Ac Pt Se
7 4 1
Direct
0.000 0.000 0.000 Ac
0.000 0.000 0.284 Ac
0.000 0.000 0.716 Ac
0.333 0.667 0.136 Ac
0.333 0.667 0.418 Ac
0.667 0.333 0.582 Ac
0.667 0.333 0.864 Ac
0.333 0.667 0.653 Pt
0.333 0.667 0.927 Pt
0.667 0.333 0.073 Pt
0.667 0.333 0.347 Pt
0.000 0.000 0.500 Se
```